# TaPd2Rh

TaPd2Rh after structural relaxation (PBE-GGA, Alexandria via LeMat-Bulk).

Calculated values
The relative energy among the computed polymorphs is 0.0 meV/atom. As for the calculated formation energy: -48.2 kJ per mole of atoms.

POSCAR file:
```
TaPd2Rh
1.0
4.0900 0.0000 0.0000
0.0000 3.8710 0.0000
0.0000 0.0000 3.8710
Pd Rh Ta
2 1 1
direct
0.0000 0.0000 0.5000
0.0000 0.5000 0.0000
0.5000 0.5000 0.5000
0.5000 0.0000 0.0000
```